12
Lattice="7.906 0.000 0.000 0.000 7.906 0.000 0.000 0.000 7.906" Properties=species:S:1:pos:R:3 comment="KCaPb, relaxed, DFT PBE" ef_ev_per_atom=0.29 e_above_lowest_polymorph_mev_per_atom=495 volume_a3_per_atom=41.17 space_group="F-43m (216)" pbc="T T T"
K 0.000 0.000 0.000
K 0.000 3.953 3.953
K 3.953 0.000 3.953
K 3.953 3.953 0.000
Ca 1.976 1.976 5.929
Ca 1.976 5.929 1.976
Ca 5.929 1.976 1.976
Ca 5.929 5.929 5.929
Pb 1.976 1.976 1.976
Pb 1.976 5.929 5.929
Pb 5.929 1.976 5.929
Pb 5.929 5.929 1.976


8
Lattice="20.671 0.000 0.000 0.000 3.881 0.000 -1.327 0.000 5.094" Properties=species:S:1:pos:R:3 comment="K2CaPb, relaxed, DFT PBE" ef_ev_per_atom=-0.17 volume_a3_per_atom=51.09 space_group="C2/m (12)" pbc="T T T"
K 3.085 0.000 0.799
K 5.923 1.941 4.295
K 13.420 1.941 0.799
K 16.259 0.000 4.295
Ca -0.664 0.000 2.547
Ca 9.672 1.941 2.547
Pb 0.000 1.941 0.000
Pb 10.336 0.000 0.000


4
Lattice="4.075 0.000 0.000 0.000 4.581 0.000 0.000 0.000 9.003" Properties=species:S:1:pos:R:3 comment="KCa2Pb, relaxed, DFT PBE" ef_ev_per_atom=-0.14 volume_a3_per_atom=42.01 space_group="Pmm2 (25)" pbc="T T T"
K 0.000 0.000 0.000
Ca 0.000 0.000 3.655
Ca 2.037 2.290 5.910
Pb 2.037 2.290 2.504


16
Lattice="11.888 0.000 0.000 0.000 11.888 0.000 0.000 0.000 6.250" Properties=species:S:1:pos:R:3 comment="K2CaPb, relaxed, DFT PBE" ef_ev_per_atom=0.04 volume_a3_per_atom=55.20 space_group="I-42d (122)" pbc="T T T"
K 1.690 2.972 0.781
K 2.972 7.634 2.344
K 2.972 10.198 5.469
K 4.254 2.972 3.906
K 7.634 8.916 3.906
K 8.916 1.690 5.469
K 8.916 4.254 2.344
K 10.198 8.916 0.781
Ca 0.000 0.000 3.125
Ca 0.000 5.944 4.688
Ca 5.944 0.000 1.563
Ca 5.944 5.944 0.000
Pb 0.000 0.000 0.000
Pb 0.000 5.944 1.563
Pb 5.944 0.000 4.688
Pb 5.944 5.944 3.125